w:
## VSb2IrI (PBE)

Data for crystalline VSb2IrI at its relaxed geometry.

The structure belongs to space group P4/mmm (No. 123); the cell edges are 5.0762, 5.0762 and 4.9866 Å and the angles 90.00°, 90.00° and 90.00°. Symmetry generates all atoms from V at (0.0000, 0.0000, 0.0000), Sb at (0.0000, 0.5000, 0.0000), Ir at (0.5000, 0.5000, 0.5000) and I at (0.0000, 0.0000, 0.5000).

x:
## VSb2IrI (PBE)

Data for crystalline VSb2IrI at its relaxed geometry.

The structure belongs to space group P4/mmm (No. 123); the cell edges are 5.0950, 5.0950 and 5.5999 Å and the angles 90.00°, 90.00° and 90.00°. Symmetry generates all atoms from V at (0.0000, 0.0000, 0.0000), Sb at (0.0000, 0.5000, 0.5000), Ir at (0.5000, 0.5000, 0.5000) and I at (0.5000, 0.5000, 0.0000).

Need the numbers? Relative energies in meV per atom: w 28; x 0.

w:
## Sb2IrWI (PBE)

Data for crystalline Sb2IrWI at its relaxed geometry.

The structure belongs to space group P4/mmm (No. 123); the cell edges are 5.2203, 5.2203 and 5.2026 Å and the angles 90.00°, 90.00° and 90.00°. Symmetry generates all atoms from Sb at (0.0000, 0.5000, 0.0000), Ir at (0.0000, 0.0000, 0.5000), W at (0.5000, 0.5000, 0.0000) and I at (0.5000, 0.5000, 0.5000).

x:
## Sb2IrWI (PBE)

Data for crystalline Sb2IrWI at its relaxed geometry.

The structure belongs to space group P4/mmm (No. 123); the cell edges are 5.0979, 5.0979 and 5.4642 Å and the angles 90.00°, 90.00° and 90.00°. Symmetry generates all atoms from Sb at (0.0000, 0.5000, 0.0000), Ir at (0.0000, 0.0000, 0.0000), W at (0.5000, 0.5000, 0.5000) and I at (0.0000, 0.0000, 0.5000).

Need the numbers? Relative energies in meV per atom: w 60; x 0.